Crystalline SrYTe2 at its relaxed geometry, computed with PBE.

Summary:
Uncorrected energy, eV per atom: -4.912
Total magnetization, μB/cell: 0.00
ΔE_f (raw), eV/atom: -1.304
Crystal system: tetragonal

Lattice parameters (Å, degrees): 3.904 3.904 7.944 90.00 90.00 90.00
Fractional coordinates of all 4 atoms:
1 Sr 0.500 0.500 0.750
2 Te 0.000 0.000 0.020
3 Te 0.000 0.000 0.480
4 Y 0.500 0.500 0.250

Crystalline TlCo2Tc at its relaxed geometry, computed with PBE.

Summary:
Uncorrected energy, eV per atom: -6.079
Total magnetization, μB/cell: 3.53
Calculated formation energy, kcal/mol of atoms: 15.14
Crystal system: trigonal

Lattice parameters (Å, degrees): 8.730 8.730 8.730 18.92 18.92 18.92
Fractional coordinates of all 4 atoms:
1 Co 0.990 0.990 0.990
2 Co 0.253 0.253 0.253
3 Tc 0.510 0.510 0.510
4 Tl 0.747 0.747 0.747

Crystalline DyZrPa2N4 at its relaxed geometry, computed with PBE.

Summary:
Uncorrected energy, eV per atom: -9.834
Total magnetization, μB/cell: 0.00
ΔE_f (raw), eV/atom: -1.654
Crystal system: monoclinic

Lattice parameters (Å, degrees): 3.435 5.934 5.957 109.41 90.00 90.00
Fractional coordinates of all 8 atoms:
1 Dy 0.500 0.500 0.000
2 Zr 0.000 0.000 0.000
3 Pa 0.500 0.000 0.500
4 Pa 0.000 0.500 0.500
5 N 0.500 0.241 0.244
6 N 0.500 0.759 0.756
7 N 0.000 0.242 0.751
8 N 0.000 0.758 0.249

Crystalline Sm2BeNi3P4 at its relaxed geometry, computed with PBE.

Summary:
Uncorrected energy, eV per atom: -6.112
Total magnetization, μB/cell: 0.00
Calculated formation energy, kcal/mol of atoms: -20.69
Crystal system: tetragonal

Lattice parameters (Å, degrees): 3.993 3.993 9.240 90.00 90.00 90.00
Fractional coordinates of all 10 atoms:
1 Sm 0.500 0.000 0.247
2 Sm 0.000 0.500 0.753
3 Be 0.500 0.500 0.500
4 Ni 0.000 0.000 0.500
5 Ni 0.500 0.000 0.883
6 Ni 0.000 0.500 0.117
7 P 0.500 0.500 0.000
8 P 0.000 0.000 0.000
9 P 0.500 0.000 0.631
10 P 0.000 0.500 0.369